1.
The following is a DFT calculation (PBE) of crystalline BeCr2HRu at its relaxed geometry.

Summary:
The total energy is -35.0 eV/f.u. The density comes out at 7.396 Mg/m³. Its space-group type is P4/mmm (123). The calculated volume comes out at 48.3 Å³/f.u. The total magnetization comes out at 0.24 Bohr magnetons per cell.

Cell: 3.5163 3.5163 3.9056 Å, 90.00 90.00 90.00°
Fractional coordinates of all 5 atoms:
1 Ru 0.5000 0.5000 0.5000
2 Be 0.0000 0.0000 0.5000
3 H 0.0000 0.0000 0.0000
4 Cr 0.0000 0.5000 0.0000
5 Cr 0.5000 0.0000 0.0000

2.
The following is a DFT calculation (PBE) of crystalline Ce2BiRh2 at its relaxed geometry.

Summary:
For the formation enthalpy at 0 K, the calculation gives -62 kJ per mole of atoms. The density comes out at 10.918 Mg/m³. Its distance to the lowest polymorph of the same formula is 0.164 eV/atom. Its space-group type is R-3m (166). The calculated volume comes out at 105.7 Å³/f.u. The total magnetization comes out at 0.78 Bohr magnetons per cell.

Cell: 4.7611 4.7611 6.0458 Å, 66.81 66.81 60.00°
Fractional coordinates of all 5 atoms:
1 Ce 0.7096 0.7096 0.8713
2 Ce 0.2904 0.2904 0.1287
3 Bi 0.5000 0.5000 0.5000
4 Rh 0.9123 0.9123 0.2632
5 Rh 0.0877 0.0877 0.7368

3.
The following is a DFT calculation (PBE) of crystalline NaLaEuBi at its relaxed geometry.

Summary:
For the formation enthalpy at 0 K, the calculation gives -36 kJ per mole of atoms. The density comes out at 6.644 Mg/m³. Its space-group type is F-43m (216). The calculated volume comes out at 130.7 Å³/f.u. The total magnetization comes out at 8.13 Bohr magnetons per cell.

Cell: 5.6959 5.6959 5.6959 Å, 60.00 60.00 60.00°
Fractional coordinates of all 4 atoms:
1 Eu 0.5000 0.5000 0.5000
2 Na 0.7500 0.7500 0.7500
3 Bi 0.2500 0.2500 0.2500
4 La 0.0000 0.0000 0.0000

4.
The following is a DFT calculation (PBE) of crystalline CaPr2Gd at its relaxed geometry.

Summary:
For the formation enthalpy at 0 K, the calculation gives 12 kJ per mole of atoms. The density comes out at 5.389 Mg/m³. Its distance to the lowest polymorph of the same formula is 0.046 eV/atom. Its space-group type is R-3m (166). The calculated volume comes out at 147.6 Å³/f.u. The total magnetization comes out at 7.13 Bohr magnetons per cell.

Cell: 3.6300 3.6300 13.1076 Å, 82.04 82.04 60.00°
Fractional coordinates of all 4 atoms:
1 Pr 0.0912 0.0912 0.7265
2 Pr 0.9088 0.9088 0.2735
3 Ca 0.0000 0.0000 0.0000
4 Gd 0.5000 0.5000 0.5000

5.
The following is a DFT calculation (PBE) of crystalline Ac2DyTmSe5 at its relaxed geometry.

Summary:
The formation energy from raw total energies is -13.49 eV per formula unit. The density comes out at 6.916 Mg/m³. Its space-group type is P4/mmm (123). The calculated volume comes out at 283.4 Å³/f.u. The total magnetization comes out at 0.00 Bohr magnetons per cell.

Cell: 5.1038 5.1038 10.8783 Å, 90.00 90.00 90.00°
Fractional coordinates of all 9 atoms:
1 Ac 0.5000 0.5000 0.2890
2 Ac 0.5000 0.5000 0.7110
3 Dy 0.0000 0.0000 0.0000
4 Tm 0.0000 0.0000 0.5000
5 Se 0.0000 0.5000 0.5000
6 Se 0.5000 0.0000 0.5000
7 Se 0.0000 0.0000 0.7547
8 Se 0.0000 0.0000 0.2453
9 Se 0.5000 0.5000 0.0000

6.
The following is a DFT calculation (PBE) of crystalline SbAsAu2 at its relaxed geometry.

Summary:
The formation energy from raw total energies is 0.14 eV per formula unit. The density comes out at 11.195 Mg/m³. Its distance to the lowest polymorph of the same formula is 0.000 eV/atom. Its space-group type is C2/m (12). The calculated volume comes out at 87.6 Å³/f.u. The total magnetization comes out at 0.00 Bohr magnetons per cell.

Cell: 3.9588 3.9588 6.8019 Å, 72.50 72.50 61.30°
Fractional coordinates of all 4 atoms:
1 Sb 0.2500 0.2500 0.2500
2 As 0.7500 0.7500 0.7500
3 Au 0.0067 0.0067 0.9801
4 Au 0.4933 0.4933 0.5199

7.
The following is a DFT calculation (PBE) of crystalline Th2TiGa at its relaxed geometry.

Summary:
For the formation enthalpy at 0 K, the calculation gives -10 kJ per mole of atoms. The density comes out at 9.858 Mg/m³. Its distance to the lowest polymorph of the same formula is 0.000 eV/atom. Its space-group type is P4/mmm (123). The calculated volume comes out at 98.0 Å³/f.u. The total magnetization comes out at 0.00 Bohr magnetons per cell.

Cell: 4.3883 4.7251 4.7251 Å, 90.00 90.00 90.00°
Fractional coordinates of all 4 atoms:
1 Ga 0.5000 0.5000 0.5000
2 Th 0.0000 0.0000 0.5000
3 Th 0.0000 0.5000 0.0000
4 Ti 0.5000 0.0000 0.0000

8.
The following is a DFT calculation (PBE) of crystalline LaNd2CrN4 at its relaxed geometry.

Summary:
The formation energy from raw total energies is -8.60 eV per formula unit. The density comes out at 6.971 Mg/m³. Its space-group type is Cmcm (63). The calculated volume comes out at 127.5 Å³/f.u. The total magnetization comes out at 4.02 Bohr magnetons per cell.

Cell: 3.5179 6.2255 12.1419 Å, 90.00 90.00 106.41°
Fractional coordinates of all 16 atoms:
1 La 0.0966 0.1933 0.7500
2 La 0.9034 0.8067 0.2500
3 Nd 0.3679 0.7358 0.5435
4 Nd 0.6321 0.2642 0.0435
5 Nd 0.6321 0.2642 0.4565
6 Nd 0.3679 0.7358 0.9565
7 Cr 0.8288 0.6575 0.7500
8 Cr 0.1712 0.3425 0.2500
9 N 0.2690 0.5381 0.1351
10 N 0.7310 0.4619 0.6351
11 N 0.7310 0.4619 0.8649
12 N 0.2690 0.5381 0.3649
13 N 0.0000 0.0000 0.5000
14 N 0.0000 0.0000 0.0000
15 N 0.4122 0.8244 0.7500
16 N 0.5878 0.1756 0.2500

9.
The following is a DFT calculation (PBE) of crystalline Rb2TeMo at its relaxed geometry.

Summary:
The formation energy from raw total energies is 2.14 eV per formula unit. The density comes out at 2.584 Mg/m³. Its space-group type is I-42d (122). The calculated volume comes out at 253.5 Å³/f.u. The total magnetization comes out at 7.92 Bohr magnetons per cell.

Cell: 13.9357 13.9357 10.1939 Å, 46.88 46.88 90.00°
Fractional coordinates of all 8 atoms:
1 Mo 0.5000 0.5000 0.0000
2 Mo 0.2500 0.7500 0.5000
3 Te 0.0000 0.0000 0.0000
4 Te 0.7500 0.2500 0.5000
5 Rb 0.4007 0.1250 0.2500
6 Rb 0.3493 0.6250 0.2500
7 Rb 0.3750 0.5993 0.7500
8 Rb 0.8750 0.6507 0.7500

10.
The following is a DFT calculation (PBE) of crystalline CrIrOs2 at its relaxed geometry.

Summary:
For the formation enthalpy at 0 K, the calculation gives 65 kJ per mole of atoms. The density comes out at 16.711 Mg/m³. Its distance to the lowest polymorph of the same formula is 0.700 eV/atom. Its space-group type is I-42d (122). The calculated volume comes out at 62.1 Å³/f.u. The total magnetization comes out at 4.07 Bohr magnetons per cell.

Cell: 3.7438 3.7438 9.2447 Å, 78.32 78.32 90.00°
Fractional coordinates of all 8 atoms:
1 Cr 0.5000 0.5000 0.0000
2 Cr 0.2500 0.7500 0.5000
3 Ir 0.0000 0.0000 0.0000
4 Ir 0.7500 0.2500 0.5000
5 Os 0.6009 0.1250 0.2500
6 Os 0.1491 0.6250 0.2500
7 Os 0.3750 0.3991 0.7500
8 Os 0.8750 0.8509 0.7500

11.
The following is a DFT calculation (PBE) of crystalline Rb2LiUS4 at its relaxed geometry.

Summary:
The formation energy from raw total energies is -10.38 eV per formula unit. The density comes out at 4.218 Mg/m³. Its space-group type is P2/m (10). The calculated volume comes out at 214.2 Å³/f.u. The total magnetization comes out at 1.00 Bohr magnetons per cell.

Cell: 4.1270 7.9174 6.8536 Å, 73.07 90.00 90.00°
Fractional coordinates of all 8 atoms:
1 Rb 0.0000 0.0000 0.0000
2 Rb 0.5000 0.0000 0.5000
3 Li 0.5000 0.5000 0.0000
4 U 0.0000 0.5000 0.5000
5 S 0.0000 0.6862 0.7450
6 S 0.0000 0.3138 0.2550
7 S 0.5000 0.6855 0.2815
8 S 0.5000 0.3145 0.7185

12.
The following is a DFT calculation (PBE) of crystalline Cs2AsOs at its relaxed geometry.

Summary:
For the formation enthalpy at 0 K, the calculation gives 41 kJ per mole of atoms. The density comes out at 4.385 Mg/m³. Its space-group type is I-42d (122). The calculated volume comes out at 201.1 Å³/f.u. The total magnetization comes out at 2.02 Bohr magnetons per cell.

Cell: 9.5651 9.5651 9.5651 Å, 93.42 93.42 151.71°
Fractional coordinates of all 8 atoms:
1 Cs 0.6250 0.9442 0.8192
2 Cs 0.1250 0.8058 0.1808
3 Cs 0.0558 0.8750 0.6808
4 Cs 0.1942 0.3750 0.3192
5 As 0.5000 0.5000 0.0000
6 As 0.7500 0.2500 0.5000
7 Os 0.0000 0.0000 0.0000
8 Os 0.2500 0.7500 0.5000